--- w ---
DFT (PBE) results for a geometry-optimized MnSbOsI2 structure.

Cell: 5.1279 5.1279 5.0229 Å, 90.00 90.00 90.00°
Closest atoms and distances in Å follow each position.
Space group P4/mmm (No. 123)
Symmetry-distinct sites (fractional):
Mn 0.0000 0.0000 0.0000 [1 per cell]  2 Sb 2.51, 4 I 2.56
Sb 0.0000 0.0000 0.5000 [1 per cell]  2 Mn 2.51
Os 0.5000 0.5000 0.5000 [1 per cell]  8 I 3.59, 4 Sb 3.63
I 0.0000 0.5000 0.0000 [2 per cell]  2 Mn 2.56

## Properties
total magnetization	1.271	μB per atom
DOS(E_F)	6.88	states/eV per cell
crystal system	tetragonal

=====

--- x ---
DFT (PBE) results for a geometry-optimized MnSbOsI2 structure.

Cell: 5.5971 5.5971 5.0123 Å, 90.00 90.00 90.00°
Closest atoms and distances in Å follow each position.
Space group P4/mmm (No. 123)
Symmetry-distinct sites (fractional):
Mn 0.0000 0.0000 0.0000 [1 per cell]  8 I 3.76, 4 Sb 3.96
Sb 0.5000 0.5000 0.0000 [1 per cell]  2 Os 2.51
Os 0.5000 0.5000 0.5000 [1 per cell]  2 Sb 2.51, 4 I 2.80
I 0.0000 0.5000 0.5000 [2 per cell]  2 Os 2.80

## Properties
total magnetization	1.096	μB per atom
DOS(E_F)	2.92	states/eV per cell
crystal system	tetragonal

=====

It turns out x is the most stable, with the second structure 563 meV per atom higher.

=====

--- w ---
DFT (PBE) results for a geometry-optimized MnPI3 structure.

Cell: 5.5151 5.5151 5.5151 Å, 90.00 90.00 90.00°
Closest atoms and distances in Å follow each position.
Space group Pm-3m (No. 221)
Symmetry-distinct sites (fractional):
Mn 0.0000 0.0000 0.0000 [1 per cell]  12 I 3.90
P 0.5000 0.5000 0.5000 [1 per cell]  6 I 2.76
I 0.0000 0.5000 0.5000 [3 per cell]  2 P 2.76

## Properties
total magnetization	1.145	μB per atom
DOS(E_F)	1.41	states/eV per cell
crystal system	cubic

=====

--- x ---
DFT (PBE) results for a geometry-optimized MnPI3 structure.

Cell: 5.1887 5.1887 5.1887 Å, 90.00 90.00 90.00°
Closest atoms and distances in Å follow each position.
Space group Pm-3m (No. 221)
Symmetry-distinct sites (fractional):
Mn 0.0000 0.0000 0.0000 [1 per cell]  6 I 2.59
P 0.5000 0.5000 0.5000 [1 per cell]  12 I 3.67
I 0.0000 0.0000 0.5000 [3 per cell]  2 Mn 2.59

## Properties
total magnetization	0.082	μB per atom
DOS(E_F)	7.57	states/eV per cell
crystal system	cubic

=====

It turns out w is the most stable, with the second structure 382 meV per atom higher.